Entry 1:
A plane-wave DFT calculation with PBE-GGA was carried out for a relaxed LiVCd3 crystal.

Output
total energy: -2.1765 eV/atom
energy relative to the lowest polymorph listed for this composition: 0.0 meV/atom
ΔH_f (0 K): 2.90 eV/f.u.
calculated volume: 20.6 Å³ per atom

CIF file:
```
data_LiVCd3
_chemical_formula_sum 'Li1 V1 Cd3'
_cell_length_a 4.684
_cell_length_b 4.684
_cell_length_c 4.684
_cell_angle_alpha 90.00
_cell_angle_beta 90.00
_cell_angle_gamma 90.00
_symmetry_space_group_name_H-M 'P m -3 m'
_symmetry_Int_Tables_number 221
_symmetry_space_group_name_Hall '-P 4 2 3'
loop_
_atom_site_label
_atom_site_type_symbol
_atom_site_fract_x
_atom_site_fract_y
_atom_site_fract_z
Li1 Li 0.000 0.000 0.000
V1 V 0.500 0.500 0.500
Cd1 Cd 0.000 0.000 0.500
```

***

Entry 2:
A plane-wave DFT calculation with PBE-GGA was carried out for a relaxed Hf2ThSc crystal.

Output
total energy: -8.2349 eV/atom
energy relative to the lowest polymorph listed for this composition: 92.0 meV/atom
ΔH_f (0 K): 0.72 eV/f.u.
calculated volume: 24.8 Å³ per atom

CIF file:
```
data_Hf2ThSc
_chemical_formula_sum 'Hf2 Th1 Sc1'
_cell_length_a 3.831
_cell_length_b 3.831
_cell_length_c 6.769
_cell_angle_alpha 90.00
_cell_angle_beta 90.00
_cell_angle_gamma 90.00
_symmetry_space_group_name_H-M 'P 4/m m m'
_symmetry_Int_Tables_number 123
_symmetry_space_group_name_Hall '-P 4 2'
loop_
_atom_site_label
_atom_site_type_symbol
_atom_site_fract_x
_atom_site_fract_y
_atom_site_fract_z
Hf1 Hf 0.000 0.000 0.243
Th1 Th 0.500 0.500 0.500
Sc1 Sc 0.500 0.500 0.000
```

***

Entry 3:
A plane-wave DFT calculation with PBE-GGA was carried out for a relaxed HfGeOs2Rh crystal.

Output
total energy: -6.9978 eV/atom
ΔH_f (0 K): 9.39 eV/f.u.
calculated volume: 22.4 Å³ per atom

CIF file:
```
data_HfGeOs2Rh
_chemical_formula_sum 'Hf1 Ge1 Os2 Rh1'
_cell_length_a 4.858
_cell_length_b 4.858
_cell_length_c 4.739
_cell_angle_alpha 90.00
_cell_angle_beta 90.00
_cell_angle_gamma 90.00
_symmetry_space_group_name_H-M 'P 4/m m m'
_symmetry_Int_Tables_number 123
_symmetry_space_group_name_Hall '-P 4 2'
loop_
_atom_site_label
_atom_site_type_symbol
_atom_site_fract_x
_atom_site_fract_y
_atom_site_fract_z
Hf1 Hf 0.000 0.000 0.000
Ge1 Ge 0.500 0.500 0.500
Os1 Os 0.000 0.500 0.000
Rh1 Rh 0.000 0.000 0.500
```

***

Which of these has the highest calculated volume?
Hf2ThSc

***

The highest total energy belongs to which entry?
LiVCd3

***

The lowest ΔH_f (0 K) belongs to which entry?
Hf2ThSc